An optimized crystal structure of EuTmMgSc, computed with PBE.

```
EuTmMgSc
1.0
7.711 0.000 0.000
0.000 7.711 0.000
0.000 0.000 7.711
Eu Tm Mg Sc
4 4 4 4
direct
0.000 0.000 0.000
0.000 0.500 0.500
0.500 0.000 0.500
0.500 0.500 0.000
0.000 0.000 0.500
0.000 0.500 0.000
0.500 0.000 0.000
0.500 0.500 0.500
0.250 0.250 0.250
0.250 0.750 0.750
0.750 0.250 0.750
0.750 0.750 0.250
0.250 0.250 0.750
0.250 0.750 0.250
0.750 0.250 0.250
0.750 0.750 0.750
```

Computed properties:
As for the space-group type: F-43m, No. 216. The final energy comes out at -5.572 eV per atom. As for the size of the total moment: 28.55 μB/cell. For the formation enthalpy at 0 K, the calculation gives 0.4 eV/f.u. The value obtained for the density is 5.65 g/cm3.

---

An optimized crystal structure of LiOsN2O, computed with PBE.

```
LiOsN2O
1.0
3.533 0.000 0.000
0.000 3.533 0.000
0.000 0.000 3.428
Li Os N O
1 1 2 1
direct
0.000 0.000 0.000
0.500 0.500 0.500
0.000 0.500 0.000
0.500 0.000 0.000
0.000 0.000 0.500
```

Computed properties:
As for the space-group type: P4/mmm, No. 123. The final energy comes out at -5.268 eV per atom. The value obtained for the uncorrected formation energy is 1.682 eV/atom. As for the size of the total moment: 0.00 μB/cell. The value obtained for the density is 9.36 g/cm3.

---

An optimized crystal structure of YSnSbTe2, computed with PBE.

```
YSnSbTe2
1.0
5.622 0.000 0.000
0.000 5.622 0.000
0.000 0.000 5.566
Y Sn Sb Te
1 1 1 2
direct
0.000 0.000 0.000
0.500 0.500 0.500
0.500 0.500 0.000
0.000 0.500 0.500
0.500 0.000 0.500
```

Computed properties:
As for the space-group type: P4/mmm, No. 123. The final energy comes out at -4.029 eV per atom. The value obtained for the uncorrected formation energy is 0.146 eV/atom. The energy above the most stable polymorph in this dataset is 145 meV/atom. As for the size of the total moment: 0.00 μB/cell. The value obtained for the density is 5.52 g/cm3.

---

An optimized crystal structure of AsRhCl2, computed with PBE.

```
AsRhCl2
1.0
3.498 0.000 0.000
-1.749 3.030 0.000
0.000 0.000 24.334
As Rh Cl
3 3 6
direct
0.000 0.000 0.000
0.333 0.667 0.667
0.667 0.333 0.333
0.000 0.000 0.500
0.333 0.667 0.167
0.667 0.333 0.833
0.000 0.000 0.105
0.000 0.000 0.895
0.333 0.667 0.562
0.333 0.667 0.771
0.667 0.333 0.229
0.667 0.333 0.438
```

Computed properties:
As for the space-group type: R-3m, No. 166. The final energy comes out at -3.709 eV per atom. The value obtained for the uncorrected formation energy is 0.215 eV/atom. The energy above the most stable polymorph in this dataset is 814 meV/atom. As for the size of the total moment: 4.78 μB/cell. The value obtained for the density is 4.80 g/cm3.

---

An optimized crystal structure of Dy2YEr4Mg, computed with PBE.

```
Dy2YEr4Mg
1.0
4.930 0.000 0.000
0.000 4.930 0.000
0.000 0.000 9.934
Dy Y Er Mg
2 1 4 1
direct
0.000 0.000 0.000
0.500 0.500 0.500
0.000 0.000 0.500
0.000 0.500 0.248
0.000 0.500 0.752
0.500 0.000 0.248
0.500 0.000 0.752
0.500 0.500 0.000
```

Computed properties:
As for the space-group type: P4/mmm, No. 123. The final energy comes out at -4.412 eV per atom. As for the size of the total moment: 0.00 μB/cell. For the formation enthalpy at 0 K, the calculation gives 0.2 eV/f.u. The value obtained for the density is 7.62 g/cm3.

---

An optimized crystal structure of TcPt2W, computed with PBE.

```
TcPt2W
1.0
2.775 0.000 0.000
0.000 2.775 0.000
0.000 0.000 8.033
Tc Pt W
1 2 1
direct
0.000 0.000 0.000
0.000 0.000 0.492
0.500 0.500 0.764
0.500 0.500 0.252
```

Computed properties:
As for the space-group type: P4mm, No. 99. The final energy comes out at -8.984 eV per atom. The energy above the most stable polymorph in this dataset is 90 meV/atom. As for the size of the total moment: 0.00 μB/cell. For the formation enthalpy at 0 K, the calculation gives -0.5 eV/f.u. The value obtained for the density is 18.04 g/cm3.

---

An optimized crystal structure of UTaC, computed with PBE.

```
UTaC
1.0
3.779 0.000 0.000
-1.890 3.273 0.000
0.000 0.000 3.963
U Ta C
1 1 1
direct
0.000 0.000 0.000
0.667 0.333 0.500
0.333 0.667 0.502
```

Computed properties:
As for the space-group type: P3m1, No. 156. The final energy comes out at -10.259 eV per atom. The energy above the most stable polymorph in this dataset is 439 meV/atom. As for the size of the total moment: 1.07 μB/cell. For the formation enthalpy at 0 K, the calculation gives 1.6 eV/f.u. The value obtained for the density is 14.60 g/cm3.

---

An optimized crystal structure of TaMnTc2, computed with PBE.

```
TaMnTc2
1.0
4.357 0.000 0.000
0.000 4.357 0.000
0.000 0.000 3.162
Ta Mn Tc
1 1 2
direct
0.000 0.000 0.000
0.500 0.500 0.000
0.000 0.500 0.500
0.500 0.000 0.500
```

Computed properties:
As for the space-group type: P4/mmm, No. 123. The final energy comes out at -10.604 eV per atom. As for the size of the total moment: 2.41 μB/cell. For the formation enthalpy at 0 K, the calculation gives -0.7 eV/f.u. The value obtained for the density is 11.94 g/cm3.

---

An optimized crystal structure of Pm2Si3SnIr4, computed with PBE.

```
Pm2Si3SnIr4
1.0
4.224 0.000 0.000
0.000 4.224 0.000
0.000 0.000 10.247
Pm Si Sn Ir
2 3 1 4
direct
0.000 0.500 0.245
0.500 0.000 0.755
0.000 0.500 0.876
0.500 0.000 0.124
0.500 0.500 0.500
0.000 0.000 0.500
0.000 0.000 0.000
0.000 0.500 0.645
0.500 0.000 0.355
0.500 0.500 0.000
```

Computed properties:
As for the space-group type: P-4m2, No. 115. The final energy comes out at -7.411 eV per atom. The value obtained for the uncorrected formation energy is -0.889 eV/atom. As for the size of the total moment: 0.00 μB/cell. The value obtained for the density is 11.46 g/cm3.

---

An optimized crystal structure of MgSiSn2Pd, computed with PBE.

```
MgSiSn2Pd
1.0
5.121 0.000 0.000
0.000 5.121 0.000
0.000 0.000 4.906
Mg Si Sn Pd
1 1 2 1
direct
0.000 0.000 0.000
0.500 0.500 0.000
0.000 0.500 0.500
0.500 0.000 0.500
0.000 0.000 0.500
```

Computed properties:
As for the space-group type: P4/mmm, No. 123. The final energy comes out at -3.783 eV per atom. The value obtained for the uncorrected formation energy is 0.261 eV/atom. As for the size of the total moment: 0.00 μB/cell. The value obtained for the density is 5.11 g/cm3.

---

An optimized crystal structure of CdHRh3, computed with PBE.

```
CdHRh3
1.0
7.350 0.000 0.000
0.000 4.898 0.000
-1.425 0.000 7.163
Cd H Rh
4 4 12
direct
0.066 0.085 0.187
0.066 0.415 0.687
0.934 0.585 0.313
0.934 0.915 0.813
0.429 0.745 0.562
0.429 0.755 0.062
0.571 0.245 0.938
0.571 0.255 0.438
0.196 0.573 0.063
0.196 0.927 0.563
0.318 0.080 0.933
0.318 0.420 0.433
0.440 0.584 0.814
0.440 0.916 0.314
0.560 0.084 0.686
0.560 0.416 0.186
0.682 0.580 0.567
0.682 0.920 0.067
0.804 0.073 0.437
0.804 0.427 0.937
```

Computed properties:
As for the space-group type: P2_1/c, No. 14. The final energy comes out at -5.232 eV per atom. The energy above the most stable polymorph in this dataset is 55 meV/atom. As for the size of the total moment: 0.00 μB/cell. The value obtained for the density is 10.87 g/cm3.

---

An optimized crystal structure of Zr2TlAu, computed with PBE.

```
Zr2TlAu
1.0
4.210 0.000 0.000
0.000 4.210 0.000
0.000 0.000 9.755
Zr Tl Au
4 2 2
direct
0.000 0.000 0.000
0.000 0.500 0.250
0.500 0.000 0.750
0.500 0.500 0.500
0.000 0.000 0.500
0.500 0.500 0.000
0.000 0.500 0.750
0.500 0.000 0.250
```

Computed properties:
As for the space-group type: I-4m2, No. 119. The final energy comes out at -5.868 eV per atom. As for the size of the total moment: 0.00 μB/cell. For the formation enthalpy at 0 K, the calculation gives -0.7 eV/f.u. The value obtained for the density is 11.21 g/cm3.